(1)
Material: NdZnGe
Method: DFT, meta-GGA SCAN
State: single point on PBEsol structure

abc: 4.1819 4.1819 8.3381
angles: 90.00 90.00 120.00
Last column: nearest neighbours and their distance in Å.
Fractional positions:
Zn1 0.3333 0.6667 0.2500  3 Ge 2.41
Zn2 0.6667 0.3333 0.7500  3 Ge 2.41
Ge1 0.3333 0.6667 0.7500  3 Zn 2.41
Ge2 0.6667 0.3333 0.2500  3 Zn 2.41
Nd1 0.0000 0.0000 0.0000  6 Ge 3.19, 6 Zn 3.19
Nd2 0.0000 0.0000 0.5000  6 Ge 3.19, 6 Zn 3.19



(2)
Material: Ni5Ge3
Method: DFT, meta-GGA SCAN
State: single point on PBEsol structure

abc: 6.2704 6.2906 6.2906
angles: 116.19 115.80 64.20
Last column: nearest neighbours and their distance in Å.
Fractional positions:
Ni1 0.5857 0.9128 0.2598  5 Ge 2.33-2.54, 4 Ni 2.53-2.56
Ni2 0.5000 0.5000 0.0000  4 Ge 2.44-2.49, 6 Ni 2.49-2.53
Ni3 0.8514 0.8201 0.6714  4 Ge 2.37-2.51, 6 Ni 2.49-2.63
Ni4 0.6486 0.6714 0.8201  4 Ge 2.37-2.51, 6 Ni 2.49-2.63
Ni5 0.4143 0.0872 0.7402  5 Ge 2.33-2.54, 4 Ni 2.53-2.56
Ni6 0.0857 0.7402 0.0872  5 Ge 2.33-2.54, 4 Ni 2.53-2.56
Ni7 0.3514 0.3286 0.1799  4 Ge 2.37-2.51, 6 Ni 2.49-2.63
Ni8 0.1486 0.1799 0.3286  4 Ge 2.37-2.51, 6 Ni 2.49-2.63
Ni9 0.0000 0.0000 0.5000  4 Ge 2.44-2.49, 6 Ni 2.49-2.53
Ni10 0.9143 0.2598 0.9128  5 Ge 2.33-2.54, 4 Ni 2.53-2.56
Ge1 0.4528 0.7142 0.4163  7 Ni 2.33-2.51
Ge2 0.5472 0.2858 0.5837  7 Ni 2.33-2.51
Ge3 0.9528 0.5837 0.2858  7 Ni 2.33-2.51
Ge4 0.0472 0.4163 0.7142  7 Ni 2.33-2.51
Ge5 0.7500 0.1062 0.1062  8 Ni 2.35-2.54
Ge6 0.2500 0.8938 0.8938  8 Ni 2.35-2.54



Number 1: DOS(E_F) 3.34 states/eV/cell, energy of formation -0.79 eV/atom. Number 2: DOS(E_F) 9.72 states/eV/cell, energy of formation -0.33 eV/atom.